# 1
Na4Np3Te8Pt: optimized geometry, PBE.

Calculated values
Uncorrected formation energy = -0.6879 eV/atom
Magnetic moment = 10.999 μB per formula unit
Final energy = -86.28 eV/cell
Symmetry = C2/m

a = 8.638 Å, b = 9.072 Å, c = 8.911 Å
α = 118.76°, β = 118.99°, γ = 90.00°
Last column: magnetic moment on the atom in μB.
Positions (direct):
Na 0.500 0.000 0.000  0.00
Na 0.500 0.000 0.500  0.00
Na 0.000 0.000 0.000  0.00
Na 0.000 0.000 0.500  0.00
Np 0.500 0.500 0.000  3.88
Np 0.500 0.500 0.500  3.84
Np 0.000 0.500 0.500  3.84
Te 0.210 0.706 0.983  -0.07
Te 0.270 0.756 0.540  -0.10
Te 0.259 0.265 0.519  -0.09
Te 0.773 0.706 0.983  -0.07
Te 0.227 0.294 0.017  -0.07
Te 0.741 0.735 0.481  -0.09
Te 0.730 0.244 0.460  -0.10
Te 0.790 0.294 0.017  -0.07
Pt 0.000 0.500 0.000  -0.04

# 2
NpAgCl5: optimized geometry, PBE.

Calculated values
Uncorrected formation energy = -1.2812 eV/atom
Magnetic moment = 3.000 μB per formula unit
Final energy = -135.98 eV/cell
Symmetry = P2_1/c

a = 7.180 Å, b = 10.324 Å, c = 13.352 Å
α = 90.00°, β = 90.00°, γ = 110.12°
Last column: magnetic moment on the atom in μB.
Positions (direct):
Np 0.412 0.358 0.755  3.19
Np 0.088 0.142 0.255  3.19
Np 0.588 0.642 0.245  3.19
Np 0.912 0.858 0.745  3.19
Ag 0.861 0.218 0.958  -0.02
Ag 0.639 0.282 0.458  -0.02
Ag 0.139 0.782 0.042  -0.02
Ag 0.361 0.718 0.542  -0.02
Cl 0.138 0.400 0.865  -0.04
Cl 0.362 0.100 0.365  -0.04
Cl 0.862 0.600 0.135  -0.04
Cl 0.638 0.900 0.635  -0.04
Cl 0.301 0.466 0.603  -0.04
Cl 0.199 0.034 0.103  -0.04
Cl 0.699 0.534 0.397  -0.04
Cl 0.801 0.966 0.897  -0.04
Cl 0.975 0.245 0.409  -0.05
Cl 0.525 0.255 0.909  -0.05
Cl 0.025 0.755 0.591  -0.05
Cl 0.475 0.745 0.091  -0.05
Cl 0.814 0.188 0.149  -0.04
Cl 0.686 0.312 0.649  -0.04
Cl 0.186 0.812 0.851  -0.04
Cl 0.314 0.688 0.351  -0.04
Cl 0.158 0.111 0.690  -0.03
Cl 0.342 0.389 0.190  -0.03
Cl 0.842 0.889 0.310  -0.03
Cl 0.658 0.611 0.810  -0.03

# 3
BeAl2Ru: optimized geometry, PBE.

Calculated values
Magnetic moment = 0.000 μB per formula unit
Formation energy = 27.82 kJ per mole of atoms
Final energy = -38.67 eV/cell
Symmetry = I-42d

a = 6.704 Å, b = 6.704 Å, c = 5.368 Å
α = 51.36°, β = 51.36°, γ = 90.00°
Positions (direct):
Ru 0.000 0.000 0.000
Ru 0.750 0.250 0.500
Al 0.602 0.125 0.250
Al 0.148 0.625 0.250
Al 0.375 0.398 0.750
Al 0.875 0.852 0.750
Be 0.500 0.500 0.000
Be 0.250 0.750 0.500

# 4
VFe3Cl: optimized geometry, PBE.

Calculated values
Uncorrected formation energy = 1.2564 eV/atom
ΔE to the lowest computed polymorph = 322 meV/atom
Magnetic moment = 5.251 μB per formula unit
Final energy = -30.07 eV/cell
Symmetry = Pm-3m

a = 4.425 Å, b = 4.425 Å, c = 4.425 Å
α = 90.00°, β = 90.00°, γ = 90.00°
Last column: magnetic moment on the atom in μB.
Positions (direct):
V 0.000 0.000 0.000  -1.55
Fe 0.000 0.500 0.000  2.25
Fe 0.000 0.000 0.500  2.25
Fe 0.500 0.000 0.000  2.25
Cl 0.500 0.500 0.500  0.08

# 5
Sr2CaZnN: optimized geometry, PBE.

Calculated values
Uncorrected formation energy = -0.3803 eV/atom
Magnetic moment = 0.000 μB per formula unit
Final energy = -16.87 eV/cell
Symmetry = P4/mmm

a = 5.308 Å, b = 5.308 Å, c = 4.859 Å
α = 90.00°, β = 90.00°, γ = 90.00°
Positions (direct):
Sr 0.000 0.500 0.000
Sr 0.500 0.000 0.000
Zn 0.500 0.500 0.500
Ca 0.000 0.000 0.500
N 0.000 0.000 0.000

# 6
Co2NiCl6: optimized geometry, PBE.

Calculated values
Uncorrected formation energy = -0.5110 eV/atom
Magnetic moment = 8.001 μB per formula unit
Final energy = -71.34 eV/cell
Symmetry = C2/c

a = 6.401 Å, b = 8.076 Å, c = 8.076 Å
α = 84.14°, β = 81.75°, γ = 81.75°
Last column: magnetic moment on the atom in μB.
Positions (direct):
Co 0.195 0.609 0.787  2.46
Co 0.305 0.213 0.391  2.46
Co 0.805 0.391 0.213  2.46
Co 0.695 0.787 0.609  2.46
Ni 0.250 0.096 0.904  1.41
Ni 0.750 0.904 0.096  1.41
Cl 0.387 0.708 0.556  0.21
Cl 0.113 0.444 0.292  0.21
Cl 0.613 0.292 0.444  0.21
Cl 0.887 0.556 0.708  0.21
Cl 0.862 0.881 0.364  0.19
Cl 0.638 0.636 0.119  0.19
Cl 0.138 0.119 0.636  0.19
Cl 0.362 0.364 0.881  0.19
Cl 0.114 0.812 0.970  0.18
Cl 0.386 0.030 0.188  0.18
Cl 0.886 0.188 0.030  0.18
Cl 0.614 0.970 0.812  0.18

# 7
NaTmSn: optimized geometry, PBE.

Calculated values
ΔE to the lowest computed polymorph = 100 meV/atom
Magnetic moment = 0.148 μB per formula unit
Formation energy = -14.92 kJ per mole of atoms
Final energy = -10.26 eV/cell
Symmetry = I4mm

a = 3.390 Å, b = 3.390 Å, c = 7.838 Å
α = 102.49°, β = 102.49°, γ = 90.00°
Last column: magnetic moment on the atom in μB.
Positions (direct):
Na 0.602 0.602 0.205  0.00
Tm 0.302 0.302 0.604  0.13
Sn 0.946 0.946 0.891  -0.01

# 8
Na2MgB2Pt5: optimized geometry, PBE.

Calculated values
Magnetic moment = 0.000 μB per formula unit
Formation energy = -40.20 kJ per mole of atoms
Final energy = -103.92 eV/cell
Symmetry = P4/mbm

a = 2.877 Å, b = 10.137 Å, c = 10.137 Å
α = 90.00°, β = 90.00°, γ = 90.00°
Positions (direct):
Na 0.000 0.680 0.180
Na 0.000 0.320 0.820
Na 0.000 0.180 0.320
Na 0.000 0.820 0.680
Mg 0.000 0.000 0.000
Mg 0.000 0.500 0.500
B 0.000 0.125 0.625
B 0.000 0.875 0.375
B 0.000 0.625 0.875
B 0.000 0.375 0.125
Pt 0.500 0.225 0.066
Pt 0.500 0.775 0.934
Pt 0.500 0.066 0.775
Pt 0.500 0.725 0.434
Pt 0.500 0.934 0.225
Pt 0.500 0.275 0.566
Pt 0.500 0.566 0.725
Pt 0.500 0.434 0.275
Pt 0.500 0.500 0.000
Pt 0.500 0.000 0.500

# 9
TbAg3: optimized geometry, PBE.

Calculated values
ΔE to the lowest computed polymorph = 35 meV/atom
Magnetic moment = 0.000 μB per formula unit
Formation energy = -16.50 kJ per mole of atoms
Final energy = -55.47 eV/cell
Symmetry = Pnma

a = 5.504 Å, b = 7.851 Å, c = 8.032 Å
α = 90.00°, β = 90.00°, γ = 90.00°
Positions (direct):
Tb 0.384 0.250 0.044
Tb 0.884 0.750 0.456
Tb 0.116 0.250 0.544
Tb 0.616 0.750 0.956
Ag 0.119 0.750 0.102
Ag 0.584 0.057 0.693
Ag 0.584 0.443 0.693
Ag 0.084 0.557 0.807
Ag 0.084 0.943 0.807
Ag 0.619 0.250 0.398
Ag 0.381 0.750 0.602
Ag 0.916 0.057 0.193
Ag 0.916 0.443 0.193
Ag 0.416 0.557 0.307
Ag 0.416 0.943 0.307
Ag 0.881 0.250 0.898

# 10
CsYW2C: optimized geometry, PBE.

Calculated values
Magnetic moment = 0.000 μB per formula unit
Formation energy = 409.17 kJ per mole of atoms
Final energy = -21.24 eV/cell
Symmetry = P4/mmm

a = 4.899 Å, b = 5.572 Å, c = 4.899 Å
α = 90.00°, β = 90.00°, γ = 90.00°
Positions (direct):
Cs 0.000 0.000 0.000
Y 0.000 0.500 0.000
C 0.500 0.500 0.500
W 0.000 0.000 0.500
W 0.500 0.000 0.000

# 11
SmClF: optimized geometry, PBE.

Calculated values
Uncorrected formation energy = -2.5390 eV/atom
ΔE to the lowest computed polymorph = 161 meV/atom
Magnetic moment = 0.250 μB per formula unit
Final energy = -16.05 eV/cell
Symmetry = P3m1

a = 3.666 Å, b = 3.666 Å, c = 5.880 Å
α = 90.00°, β = 90.00°, γ = 120.00°
Last column: magnetic moment on the atom in μB.
Positions (direct):
F 0.333 0.667 0.571  0.01
Sm 0.667 0.333 0.369  0.12
Cl 0.000 0.000 0.060  0.01